Version w
! Na8B13C3, relaxed, DFT PBE-GGA; values from VASP
! DOS(E_F), states/eV per atom: 0.279
&SYSTEM
  ibrav = 0, nat = 24, ntyp = 3
/
ATOMIC_SPECIES
Na 22.99 Na.upf
C 12.01 C.upf
B 10.81 B.upf
CELL_PARAMETERS angstrom
-5.628 6.036 3.901
-7.555 4.488 2.469
1.236 -7.880 6.851
ATOMIC_POSITIONS angstrom
Na -6.240 3.269 4.865
Na -3.170 1.660 2.473
Na -5.678 -0.643 8.336
Na -2.512 -2.295 5.860
Na -11.930 2.634 13.209
Na -8.813 0.997 10.783
Na 0.614 -3.940 3.432
Na -9.438 4.941 7.363
C -10.592 3.199 10.799
C -4.286 -0.224 6.010
C -1.373 -0.486 2.373
B -11.191 7.019 7.476
B -7.005 -1.236 10.763
B -8.049 5.342 5.060
B -11.408 8.381 6.296
B -7.653 2.831 7.240
B -7.456 1.560 8.349
B -10.788 4.452 9.707
B -4.934 3.860 2.470
B -0.742 -4.468 5.827
B -0.531 -5.761 6.940
B -3.912 -2.634 8.111
B -1.179 -1.674 3.396
B -4.481 1.003 4.946

Version x
! Na8B13C3, relaxed, DFT PBE-GGA; values from VASP
! DOS(E_F), states/eV per atom: 0.265
&SYSTEM
  ibrav = 0, nat = 24, ntyp = 3
/
ATOMIC_SPECIES
Na 22.99 Na.upf
C 12.01 C.upf
B 10.81 B.upf
CELL_PARAMETERS angstrom
-11.258 8.397 -10.382
-6.448 11.761 -11.187
8.311 -12.415 9.046
ATOMIC_POSITIONS angstrom
Na -9.372 7.725 -12.498
Na -2.201 2.504 -2.681
Na -4.440 5.054 -5.408
Na 1.655 -4.830 0.935
Na -8.838 10.050 -10.763
Na -2.750 0.183 -4.430
Na -4.969 2.710 -7.134
Na -15.517 17.655 -18.899
C -8.733 7.475 -9.884
C -1.903 4.114 -4.895
C -6.327 9.155 -10.286
B -0.626 0.237 -2.598
B -4.332 2.399 -4.503
B -2.794 2.899 -5.299
B -2.061 -0.120 -1.757
B -5.117 5.350 -8.069
B -7.316 7.808 -10.734
B -6.551 4.991 -7.226
B -3.071 -1.402 -2.244
B -5.319 1.054 -4.951
B -10.952 9.999 -12.587
B -7.484 3.622 -7.620
B 1.537 -2.270 0.050
B -4.110 6.629 -7.584

version w is preferred energetically. Next in line: 21 meV/atom higher.